1.
Here is a geometry-optimized LiRhBr2 structure from Alexandria. Energies are from PBEsol.

Output
Volume ... 73.56 Å³ per cell
E_form (uncorrected) ... -177 meV/atom
ρ ... 6.09 g/cm3
Size of the total moment ... 2.02 μB/f.u.

a b c (Å): 4.7032 4.7032 4.7032
angles (deg): 60.00 60.00 60.00
Last column: magnetic moment on the atom in μB.
Atoms (fractional coordinates):
Rh: 0.0000 0.0000 0.0000  1.50
Br: 0.2500 0.2500 0.2500  0.20
Br: 0.7500 0.7500 0.7500  0.20
Li: 0.5000 0.5000 0.5000  0.00

2.
Here is a geometry-optimized LiRuBr4 structure from Alexandria. Energies are from PBEsol.

Output
Volume ... 162.14 Å³ per cell
E_form (uncorrected) ... 936 meV/atom
ρ ... 4.38 g/cm3
Size of the total moment ... 2.37 μB/f.u.

a b c (Å): 6.1208 6.1208 6.1208
angles (deg): 60.00 60.00 60.00
Last column: magnetic moment on the atom in μB.
Atoms (fractional coordinates):
Br: 0.8772 0.3743 0.3743  -0.10
Br: 0.3743 0.3743 0.3743  -0.10
Ru: 0.0000 0.0000 0.0000  2.56
Br: 0.3743 0.3743 0.8772  -0.10
Li: 0.7500 0.7500 0.7500  0.00
Br: 0.3743 0.8772 0.3743  -0.10

3.
Here is a geometry-optimized LiYRuBr2 structure from Alexandria. Energies are from PBEsol.

Output
Volume ... 105.03 Å³ per cell
E_form (uncorrected) ... 110 meV/atom
ρ ... 5.64 g/cm3
Size of the total moment ... 0.00 μB/f.u.

a b c (Å): 4.3434 4.9174 4.9174
angles (deg): 90.00 90.00 90.00
Atoms (fractional coordinates):
Br: 0.0000 0.0000 0.5000
Br: 0.0000 0.5000 0.0000
Li: 0.5000 0.0000 0.0000
Ru: 0.0000 0.0000 0.0000
Y: 0.5000 0.5000 0.5000

4.
Here is a geometry-optimized LiSbBr2 structure from Alexandria. Energies are from PBEsol.

Output
Volume ... 96.55 Å³ per cell
E_form (uncorrected) ... -446 meV/atom
ρ ... 4.96 g/cm3
Size of the total moment ... 0.00 μB/f.u.

a b c (Å): 3.4833 5.2647 5.2647
angles (deg): 90.00 90.00 90.00
Atoms (fractional coordinates):
Br: 0.0000 0.0000 0.5000
Sb: 0.5000 0.0000 0.0000
Li: 0.5000 0.5000 0.5000
Br: 0.0000 0.5000 0.0000

5.
Here is a geometry-optimized Li4SbBr structure from Alexandria. Energies are from PBEsol.

Output
Volume ... 115.75 Å³ per cell
E_form (uncorrected) ... -269 meV/atom
ρ ... 3.29 g/cm3
Size of the total moment ... 0.13 μB/f.u.

a b c (Å): 5.4704 5.4704 5.4704
angles (deg): 60.00 60.00 60.00
Atoms (fractional coordinates):
Li: 0.3790 0.3790 0.3790
Li: 0.8631 0.3790 0.3790
Li: 0.3790 0.8631 0.3790
Sb: 0.7500 0.7500 0.7500
Br: 0.0000 0.0000 0.0000
Li: 0.3790 0.3790 0.8631

6.
Here is a geometry-optimized LiSbBr structure from Alexandria. Energies are from PBEsol.

Output
Volume ... 90.83 Å³ per cell
E_form (uncorrected) ... 179 meV/atom
ρ ... 3.81 g/cm3
Size of the total moment ... 0.82 μB/f.u.

a b c (Å): 5.0457 5.0457 5.0457
angles (deg): 60.00 60.00 60.00
Last column: magnetic moment on the atom in μB.
Atoms (fractional coordinates):
Sb: 0.2500 0.2500 0.2500  0.22
Li: 0.5000 0.5000 0.5000  0.01
Br: 0.0000 0.0000 0.0000  0.12